No. 1
This record from Alexandria via LeMat-Bulk describes InTe2PtN at its PBEsol-relaxed geometry. The functional is SCAN.

Summary:
ΔE_f (raw): 1.28 eV per atom
total magnetic moment: 0.380 μB per atom
final energy: -180.96 eV for the cell shown

The structure in POSCAR format:
```
InTe2PtN
1.0
5.5940 0.0000 0.0000
0.0000 5.5940 0.0000
0.0000 0.0000 3.8466
In Te Pt N
1 2 1 1
Cartesian
0.0000 0.0000 0.0000
0.0000 2.7970 0.0000
2.7970 0.0000 0.0000
2.7970 2.7970 1.9233
0.0000 0.0000 1.9233
```

***

No. 2
This record from Alexandria via LeMat-Bulk describes LiCa3 at its PBEsol-relaxed geometry. The functional is SCAN.

Summary:
formation energy from the elements: 56.7 meV per atom
total magnetic moment: 0.084 μB per atom
excess energy over the best structure of this formula in the dataset: 3.59 kJ/mol of atoms
final energy: -62.31 eV for the cell shown

The structure in POSCAR format:
```
LiCa3
1.0
7.4318 0.0000 0.0000
-3.7159 6.4361 0.0000
0.0000 0.0000 6.0749
Li Ca
2 6
Cartesian
0.0000 4.2907 1.5187
3.7159 2.1454 4.5561
0.0000 2.1671 4.5561
-1.8391 5.3526 4.5561
1.8767 1.0835 1.5187
1.8392 5.3526 4.5561
5.5550 1.0835 1.5187
3.7159 4.2690 1.5187
```

***

No. 3
This record from Alexandria via LeMat-Bulk describes ScCr2Br at its PBEsol-relaxed geometry. The functional is SCAN.

Summary:
ΔE_f (raw): 0.67 eV per atom
total magnetic moment: 1.126 μB per atom
excess energy over the best structure of this formula in the dataset: 81.16 kJ/mol of atoms
final energy: -67.79 eV for the cell shown

The structure in POSCAR format:
```
ScCr2Br
1.0
4.3216 0.0000 0.0000
0.0000 4.3216 0.0000
0.0000 0.0000 3.2670
Sc Cr Br
1 2 1
Cartesian
0.0000 0.0000 0.0000
0.0000 2.1608 1.6335
2.1608 0.0000 1.6335
2.1608 2.1608 0.0000
```

***

No. 4
This record from Alexandria via LeMat-Bulk describes BaSb12Ru4 at its PBEsol-relaxed geometry. The functional is SCAN.

Summary:
ΔE_f (raw): -0.42 eV per atom
total magnetic moment: 0.000 μB per atom
final energy: -633.06 eV for the cell shown

The structure in POSCAR format:
```
BaSb12Ru4
1.0
-4.6527 4.6527 4.6527
4.6527 -4.6527 4.6527
4.6527 4.6527 -4.6527
Ba Sb Ru
1 12 4
Cartesian
0.0000 0.0000 0.0000
3.1976 0.0000 1.4941
6.1077 0.0000 1.4941
4.6527 3.1586 -1.4550
1.4941 3.1976 0.0000
3.1586 -1.4550 4.6527
4.6527 3.1586 1.4550
0.0000 1.4941 3.1976
1.4941 6.1077 0.0000
3.1586 1.4550 4.6527
0.0000 1.4941 6.1077
-1.4550 4.6527 3.1586
1.4550 4.6527 3.1586
2.3263 2.3263 -2.3263
2.3263 -2.3263 2.3263
-2.3263 2.3263 2.3263
2.3263 2.3263 2.3263
```

***

No. 5
This record from Alexandria via LeMat-Bulk describes Zr3P at its PBEsol-relaxed geometry. The functional is SCAN.

Summary:
formation energy from the elements: -942.9 meV per atom
total magnetic moment: 0.000 μB per atom
excess energy over the best structure of this formula in the dataset: 0.00 kJ/mol of atoms
final energy: -850.13 eV for the cell shown

The structure in POSCAR format:
```
Zr3P
1.0
10.6936 0.0000 0.0000
0.0000 10.6936 0.0000
0.0000 0.0000 5.3019
Zr P
24 8
Cartesian
0.3710 9.9377 1.2441
0.7559 5.7178 3.8950
1.2064 2.9613 0.1508
1.5264 8.9270 3.7692
1.7666 6.8732 1.1183
2.3855 1.2064 2.5001
2.9613 4.1404 2.5001
3.5802 9.1673 1.1183
3.8205 7.1134 3.7692
4.1404 2.3855 0.1508
4.5909 10.3226 3.8950
4.9758 6.1027 1.2441
5.7178 4.5909 4.0578
6.1027 0.3710 1.4069
6.5532 8.3082 5.1510
6.8732 3.5802 1.5326
7.1134 1.5264 4.1835
7.7323 6.5532 2.8018
8.3082 9.4872 2.8018
8.9270 3.8205 4.1835
9.1673 1.7666 1.5326
9.4872 7.7323 5.1510
9.9377 4.9758 1.4069
10.3226 0.7559 4.0578
0.4652 3.1083 2.8470
2.2385 0.4652 5.1058
3.1083 4.8816 5.1058
4.8816 2.2385 2.8470
5.8121 8.4551 2.4549
7.5853 5.8121 0.1960
8.4551 10.2284 0.1960
10.2284 7.5853 2.4549
```

***

No. 6
This record from Alexandria via LeMat-Bulk describes InAsAu2 at its PBEsol-relaxed geometry. The functional is SCAN.

Summary:
formation energy from the elements: 105.7 meV per atom
total magnetic moment: 0.000 μB per atom
final energy: -191.47 eV for the cell shown

The structure in POSCAR format:
```
InAsAu2
1.0
2.8435 0.0000 0.0000
0.0000 4.9875 0.0000
0.0000 0.0000 5.3604
In As Au
1 1 2
Cartesian
0.0000 0.0000 0.0000
1.4218 0.0000 2.6802
0.0000 2.4937 2.6802
1.4218 2.4937 0.0000
```